Record 1
# ReHgRu (GGA-PBE, relaxed)
# DFT formation energy	0.93	eV per atom
# M_tot	0.00	μB per formula unit
# offset from the most stable computed form	579	meV/atom
data_ReHgRu
_chemical_formula_sum 'Re4 Hg4 Ru4'
_cell_length_a 6.098
_cell_length_b 6.098
_cell_length_c 6.098
_cell_angle_alpha 90.00
_cell_angle_beta 90.00
_cell_angle_gamma 90.00
_space_group_name_H-M_alt 'F -4 3 m'
_space_group_IT_number 216
_space_group_name_Hall 'F -4 2 3'
loop_
_atom_site_label
_atom_site_fract_x
_atom_site_fract_y
_atom_site_fract_z
_atom_site_occupancy
Re1 0.000 0.000 0.000 1
Hg1 0.000 0.000 0.500 1
Ru1 0.250 0.250 0.250 1

***

Record 2
# YCr2Hg (GGA-PBE, relaxed)
# DFT formation energy	0.43	eV per atom
# M_tot	7.89	μB per formula unit
# offset from the most stable computed form	263	meV/atom
data_YCr2Hg
_chemical_formula_sum 'Y2 Cr4 Hg2'
_cell_length_a 4.472
_cell_length_b 4.472
_cell_length_c 8.248
_cell_angle_alpha 90.00
_cell_angle_beta 90.00
_cell_angle_gamma 90.00
_space_group_name_H-M_alt 'I 4/m m m'
_space_group_IT_number 139
_space_group_name_Hall '-I 4 2'
loop_
_atom_site_label
_atom_site_fract_x
_atom_site_fract_y
_atom_site_fract_z
_atom_site_occupancy
Y1 0.000 0.000 0.000 1
Cr1 0.000 0.500 0.250 1
Hg1 0.000 0.000 0.500 1